Entry a
! HgPAu3 | Alexandria | GGA-PBE | relaxed; values from VASP
&SYSTEM
  ibrav = 0, nat = 5, ntyp = 3
/
ATOMIC_SPECIES
Hg 200.59 Hg.upf
P 30.97 P.upf
Au 196.97 Au.upf
ATOMIC_POSITIONS angstrom
Hg 0.0000 0.0000 0.0000
P -1.4876 0.0199 4.2079
Au 1.4344 -0.4750 2.0873
Au -1.8569 -1.5262 0.9287
Au -1.0651 2.0212 1.1919
CELL_PARAMETERS angstrom
-2.1302 4.0423 2.3837
-3.7139 -3.0524 1.8574
2.8687 -0.9500 4.1747
! * N(E_F): 3.53 states/eV per cell

=====

Entry b
! HgPAu3 | Alexandria | GGA-PBE | relaxed; values from VASP
&SYSTEM
  ibrav = 0, nat = 5, ntyp = 3
/
ATOMIC_SPECIES
Au 196.97 Au.upf
Hg 200.59 Hg.upf
P 30.97 P.upf
ATOMIC_POSITIONS angstrom
Au -1.7030 -0.3801 1.6651
Au 1.7072 -0.3115 1.6750
Au -0.0489 2.3613 0.4890
Hg -0.0447 1.6697 3.8291
P 0.0000 0.0000 0.0000
CELL_PARAMETERS angstrom
-3.4060 -0.7602 3.3302
3.4145 -0.6230 3.3500
-0.0978 4.7226 0.9780
! * N(E_F): 1.69 states/eV per cell

=====

Preferred: entry b; penalty for the next structure: 99.9 kJ/mol of atoms.

=====

Entry a
! PaHgAu | Alexandria | GGA-PBE | relaxed; values from VASP
&SYSTEM
  ibrav = 0, nat = 3, ntyp = 3
/
ATOMIC_SPECIES
Au 196.97 Au.upf
Pa 231.04 Pa.upf
Hg 200.59 Hg.upf
ATOMIC_POSITIONS angstrom
Au 1.4495 1.4495 7.6464
Pa 0.0000 0.0000 2.0718
Hg 1.4495 1.4495 4.7240
CELL_PARAMETERS angstrom
2.8989 0.0000 0.0000
0.0000 2.8989 0.0000
-1.4495 -1.4495 8.4954
! * N(E_F): 4.40 states/eV per cell

=====

Entry b
! PaHgAu | Alexandria | GGA-PBE | relaxed; values from VASP
&SYSTEM
  ibrav = 0, nat = 3, ntyp = 3
/
ATOMIC_SPECIES
Pa 231.04 Pa.upf
Au 196.97 Au.upf
Hg 200.59 Hg.upf
ATOMIC_POSITIONS angstrom
Pa 2.1229 2.4582 1.4193
Au 0.5324 0.0000 2.8385
Hg 0.5294 0.0000 0.0000
CELL_PARAMETERS angstrom
3.1848 0.0000 0.0000
0.0000 4.9165 0.0000
0.0000 -2.4582 4.2578
! * N(E_F): 4.69 states/eV per cell

=====

Preferred: entry b; penalty for the next structure: 54.9 kJ/mol of atoms.

=====

Entry a
! Pa2HgAu | Alexandria | GGA-PBE | relaxed; values from VASP
&SYSTEM
  ibrav = 0, nat = 4, ntyp = 3
/
ATOMIC_SPECIES
Hg 200.59 Hg.upf
Au 196.97 Au.upf
Pa 231.04 Pa.upf
ATOMIC_POSITIONS angstrom
Hg -5.7732 -1.3290 -2.3084
Au 0.0000 0.0000 0.0000
Pa -8.6598 -1.9936 -3.4626
Pa -2.8866 -0.6645 -1.1542
CELL_PARAMETERS angstrom
-2.5941 -2.1426 -3.9534
-4.4341 -2.5509 0.8836
-4.5181 2.0355 -1.5469
! * N(E_F): 10.20 states/eV per cell

=====

Entry b
! Pa2HgAu | Alexandria | GGA-PBE | relaxed; values from VASP
&SYSTEM
  ibrav = 0, nat = 4, ntyp = 3
/
ATOMIC_SPECIES
Pa 231.04 Pa.upf
Hg 200.59 Hg.upf
Au 196.97 Au.upf
ATOMIC_POSITIONS angstrom
Pa 0.0000 0.0000 2.1634
Pa 0.0000 0.0000 6.9072
Hg 1.5990 1.5990 4.5353
Au 1.5990 1.5990 0.0000
CELL_PARAMETERS angstrom
3.1981 0.0000 0.0000
0.0000 3.1981 0.0000
0.0000 0.0000 9.0706
! * N(E_F): 7.16 states/eV per cell

=====

Preferred: entry b; penalty for the next structure: 18.8 kJ/mol of atoms.

=====

Entry a
! Pa2HgAu | Alexandria | GGA-PBE | relaxed; values from VASP
&SYSTEM
  ibrav = 0, nat = 4, ntyp = 3
/
ATOMIC_SPECIES
Pa 231.04 Pa.upf
Hg 200.59 Hg.upf
Au 196.97 Au.upf
ATOMIC_POSITIONS angstrom
Pa -1.4747 -2.7252 0.5899
Pa -4.4936 -8.4849 2.0699
Hg -2.9841 -5.6050 1.3299
Au 0.0000 0.0000 0.0000
CELL_PARAMETERS angstrom
-2.8595 -0.5593 -1.2378
-0.3373 -2.1531 -2.2960
-2.7715 -8.4976 6.1936
! * N(E_F): 7.00 states/eV per cell

=====

Entry b
! Pa2HgAu | Alexandria | GGA-PBE | relaxed; values from VASP
&SYSTEM
  ibrav = 0, nat = 4, ntyp = 3
/
ATOMIC_SPECIES
Au 196.97 Au.upf
Pa 231.04 Pa.upf
Hg 200.59 Hg.upf
ATOMIC_POSITIONS angstrom
Au 1.5526 0.0000 0.0000
Pa 0.0000 2.7930 0.0000
Pa 0.0000 0.0000 2.7930
Hg 1.5526 2.7930 2.7930
CELL_PARAMETERS angstrom
3.1053 0.0000 0.0000
0.0000 5.5860 0.0000
0.0000 0.0000 5.5860
! * N(E_F): 9.62 states/eV per cell

=====

Preferred: entry a; penalty for the next structure: 12.3 kJ/mol of atoms.

=====

Entry a
! HgPb2Au2 | Alexandria | GGA-PBE | relaxed; values from VASP
&SYSTEM
  ibrav = 0, nat = 5, ntyp = 3
/
ATOMIC_SPECIES
Au 196.97 Au.upf
Pb 207.20 Pb.upf
Hg 200.59 Hg.upf
ATOMIC_POSITIONS angstrom
Au 3.9454 1.9727 4.1876
Au 1.9727 3.9454 4.1876
Pb 3.9454 3.9454 6.5580
Pb 1.9727 1.9727 1.8172
Hg 0.0000 0.0000 0.0000
CELL_PARAMETERS angstrom
3.9454 0.0000 0.0000
0.0000 3.9454 0.0000
1.9727 1.9727 8.3752
! * N(E_F): 2.49 states/eV per cell

=====

Entry b
! HgPb2Au2 | Alexandria | GGA-PBE | relaxed; values from VASP
&SYSTEM
  ibrav = 0, nat = 5, ntyp = 3
/
ATOMIC_SPECIES
Au 196.97 Au.upf
Pb 207.20 Pb.upf
Hg 200.59 Hg.upf
ATOMIC_POSITIONS angstrom
Au 1.9247 -2.8606 -2.5749
Au 3.8322 -5.8418 -5.0964
Pb 4.6197 -4.1308 -2.7790
Pb 1.1372 -4.5716 -4.8923
Hg 0.0000 0.0000 0.0000
CELL_PARAMETERS angstrom
-1.3888 -2.1085 -5.2154
5.5761 -1.2269 -0.9888
1.5696 -5.3670 -1.4670
! * N(E_F): 2.18 states/eV per cell

=====

Entry c
! HgPb2Au2 | Alexandria | GGA-PBE | relaxed; values from VASP
&SYSTEM
  ibrav = 0, nat = 5, ntyp = 3
/
ATOMIC_SPECIES
Hg 200.59 Hg.upf
Pb 207.20 Pb.upf
Au 196.97 Au.upf
ATOMIC_POSITIONS angstrom
Hg 0.0000 0.0000 0.0000
Pb 2.3758 2.1226 1.6985
Pb 7.1275 4.9162 3.9340
Au 4.7517 2.6603 3.8899
Au 4.7517 4.3785 1.7426
CELL_PARAMETERS angstrom
4.7517 0.0000 0.0000
2.3758 5.3581 0.5184
2.3758 1.6806 5.1141
! * N(E_F): 2.29 states/eV per cell

=====

Preferred: entry c; penalty for the next structure: 5.4 kJ/mol of atoms.

=====

Entry a
! Hg3PbAu3 | Alexandria | GGA-PBE | relaxed; values from VASP
&SYSTEM
  ibrav = 0, nat = 14, ntyp = 3
/
ATOMIC_SPECIES
Hg 200.59 Hg.upf
Au 196.97 Au.upf
Pb 207.20 Pb.upf
ATOMIC_POSITIONS angstrom
Hg -5.9026 0.2879 5.3060
Hg -5.1698 -3.0215 5.2046
Hg -7.2069 -3.3040 -0.2971
Hg -7.9397 0.0054 -0.1957
Hg -5.8346 -4.8204 2.4079
Hg -7.2748 1.8043 2.6010
Au -9.8080 0.5080 2.0640
Au -7.6784 -1.9390 6.1642
Au -4.3729 1.5860 3.2177
Au -5.4311 -1.0770 -1.1553
Au -3.3015 -3.5241 2.9449
Au -8.7366 -4.6020 1.7911
Pb -5.0247 -1.1560 1.9198
Pb -8.0847 -1.8600 3.0890
CELL_PARAMETERS angstrom
-6.4719 1.2994 -2.4442
-3.2667 -6.0467 1.5212
-3.3709 1.7313 5.9319
! * N(E_F): 3.08 states/eV per cell

=====

Entry b
! Hg3PbAu3 | Alexandria | GGA-PBE | relaxed; values from VASP
&SYSTEM
  ibrav = 0, nat = 14, ntyp = 3
/
ATOMIC_SPECIES
Au 196.97 Au.upf
Hg 200.59 Hg.upf
Pb 207.20 Pb.upf
ATOMIC_POSITIONS angstrom
Au 5.7593 0.0000 3.8396
Au 1.9198 0.0000 3.8396
Au 3.8396 1.9198 0.0000
Au 3.8396 5.7593 0.0000
Au 0.0000 3.8396 5.7593
Au 0.0000 3.8396 1.9198
Hg 3.8396 0.0000 5.7593
Hg 1.9198 3.8396 0.0000
Hg 3.8396 0.0000 1.9198
Hg 0.0000 5.7593 3.8396
Hg 5.7593 3.8396 0.0000
Hg 0.0000 1.9198 3.8396
Pb 3.8396 3.8396 3.8396
Pb 0.0000 0.0000 0.0000
CELL_PARAMETERS angstrom
7.6791 0.0000 0.0000
0.0000 7.6791 0.0000
0.0000 0.0000 7.6791
! * N(E_F): 4.60 states/eV per cell

=====

Preferred: entry a; penalty for the next structure: 38.7 kJ/mol of atoms.

=====

Entry a
! Hg2Pb2Au | Alexandria | GGA-PBE | relaxed; values from VASP
&SYSTEM
  ibrav = 0, nat = 10, ntyp = 3
/
ATOMIC_SPECIES
Hg 200.59 Hg.upf
Pb 207.20 Pb.upf
Au 196.97 Au.upf
ATOMIC_POSITIONS angstrom
Hg 4.7475 1.0466 0.0000
Hg 1.0466 2.6542 0.0000
Hg 2.6542 6.3551 0.0000
Hg 6.3551 4.7475 0.0000
Pb 2.4366 1.2642 2.4448
Pb 6.1375 2.4366 2.4448
Pb 1.2642 4.9651 2.4448
Pb 4.9651 6.1375 2.4448
Au 0.0000 0.0000 0.0000
Au 3.7008 3.7008 0.0000
CELL_PARAMETERS angstrom
7.4017 0.0000 0.0000
0.0000 7.4017 0.0000
0.0000 0.0000 4.8895
! * N(E_F): 5.65 states/eV per cell

=====

Entry b
! Hg2Pb2Au | Alexandria | GGA-PBE | relaxed; values from VASP
&SYSTEM
  ibrav = 0, nat = 5, ntyp = 3
/
ATOMIC_SPECIES
Hg 200.59 Hg.upf
Au 196.97 Au.upf
Pb 207.20 Pb.upf
ATOMIC_POSITIONS angstrom
Hg -8.3309 -3.2375 -0.2588
Hg -2.9277 -0.9568 -1.3540
Au 0.0000 0.0000 0.0000
Pb -5.0742 -3.5094 -1.0087
Pb -6.1844 -0.6849 -0.6041
CELL_PARAMETERS angstrom
-3.1109 2.3634 -1.8667
-0.8905 -3.2855 -2.6758
-7.2572 -3.2722 2.9297
! * N(E_F): 1.99 states/eV per cell

=====

Preferred: entry a; penalty for the next structure: 24.8 kJ/mol of atoms.

=====

Entry a
! Hg2Pb2Au | Alexandria | GGA-PBE | relaxed; values from VASP
&SYSTEM
  ibrav = 0, nat = 10, ntyp = 3
/
ATOMIC_SPECIES
Au 196.97 Au.upf
Hg 200.59 Hg.upf
Pb 207.20 Pb.upf
ATOMIC_POSITIONS angstrom
Au 0.3153 -2.8979 -4.5772
Au 0.0000 0.0000 0.0000
Hg -2.4149 -1.1294 -2.6681
Hg -1.6979 -5.6493 -6.1907
Hg -1.5621 -5.0890 -2.1480
Hg -2.5507 -1.6897 -6.7108
Pb -0.2960 -0.1231 -5.1603
Pb 0.2644 -3.5051 -7.4131
Pb 0.3662 -2.2908 -1.7413
Pb 0.9266 -5.6728 -3.9941
CELL_PARAMETERS angstrom
-0.7882 1.5565 -7.4734
1.4188 -7.3524 -1.6809
-4.7433 -0.9829 0.2956
! * N(E_F): 5.07 states/eV per cell

=====

Entry b
! Hg2Pb2Au | Alexandria | GGA-PBE | relaxed; values from VASP
&SYSTEM
  ibrav = 0, nat = 10, ntyp = 3
/
ATOMIC_SPECIES
Hg 200.59 Hg.upf
Au 196.97 Au.upf
Pb 207.20 Pb.upf
ATOMIC_POSITIONS angstrom
Hg -4.0889 -0.1083 -0.0259
Hg -8.5526 5.8505 2.9009
Hg -10.7827 4.1334 4.0951
Hg -5.7188 1.8835 -1.6745
Au -7.4339 2.0164 2.0343
Au -11.9014 7.9675 4.9617
Pb -4.4362 -2.0737 -2.6581
Pb -8.2677 0.3683 -0.2900
Pb -10.4376 6.0943 6.7274
Pb -6.6003 3.6646 4.3587
CELL_PARAMETERS angstrom
-2.2975 0.2250 -4.0901
-2.8962 -3.4806 -1.2477
-9.5276 8.2087 8.6963
! * N(E_F): 3.58 states/eV per cell

=====

Preferred: entry b; penalty for the next structure: 9.8 kJ/mol of atoms.

=====

Entry a
! Hg2PbAu2 | Alexandria | GGA-PBE | relaxed; values from VASP
&SYSTEM
  ibrav = 0, nat = 5, ntyp = 3
/
ATOMIC_SPECIES
Hg 200.59 Hg.upf
Pb 207.20 Pb.upf
Au 196.97 Au.upf
ATOMIC_POSITIONS angstrom
Hg -0.4008 -0.9730 3.4621
Hg 1.4929 2.3313 3.4553
Pb 0.0000 0.0000 0.0000
Au 2.2769 -0.1213 4.5491
Au -1.1849 1.4797 2.3683
CELL_PARAMETERS angstrom
-3.5304 -0.3446 1.7579
2.0273 -3.8030 3.3259
2.5952 5.5059 1.8336
! * N(E_F): 1.54 states/eV per cell

=====

Entry b
! Hg2PbAu2 | Alexandria | GGA-PBE | relaxed; values from VASP
&SYSTEM
  ibrav = 0, nat = 5, ntyp = 3
/
ATOMIC_SPECIES
Au 196.97 Au.upf
Hg 200.59 Hg.upf
Pb 207.20 Pb.upf
ATOMIC_POSITIONS angstrom
Au 1.9582 3.9165 4.1089
Au 3.9165 1.9582 4.1089
Hg 3.9165 3.9165 6.3956
Hg 1.9582 1.9582 1.8222
Pb 0.0000 0.0000 0.0000
CELL_PARAMETERS angstrom
3.9165 0.0000 0.0000
0.0000 3.9165 0.0000
1.9582 1.9582 8.2178
! * N(E_F): 2.42 states/eV per cell

=====

Preferred: entry a; penalty for the next structure: 4.4 kJ/mol of atoms.

=====

Entry a
! Hg2PbAu2 | Alexandria | GGA-PBE | relaxed; values from VASP
&SYSTEM
  ibrav = 0, nat = 5, ntyp = 3
/
ATOMIC_SPECIES
Au 196.97 Au.upf
Hg 200.59 Hg.upf
Pb 207.20 Pb.upf
ATOMIC_POSITIONS angstrom
Au -0.4839 -7.7043 -2.5013
Au 0.6190 -2.7678 -1.5816
Hg 0.9916 -5.6423 -0.9687
Hg -0.8565 -4.8297 -3.1142
Pb 0.0000 0.0000 0.0000
CELL_PARAMETERS angstrom
-0.4029 -0.9145 -4.0446
3.2934 -2.5398 0.2462
-2.7554 -7.0178 -0.2845
! * N(E_F): 1.59 states/eV per cell

=====

Entry b
! Hg2PbAu2 | Alexandria | GGA-PBE | relaxed; values from VASP
&SYSTEM
  ibrav = 0, nat = 10, ntyp = 3
/
ATOMIC_SPECIES
Au 196.97 Au.upf
Hg 200.59 Hg.upf
Pb 207.20 Pb.upf
ATOMIC_POSITIONS angstrom
Au 0.2068 -1.3892 -5.9549
Au 0.3902 1.8464 -9.0709
Au -1.1896 1.6161 -2.9166
Au -1.0062 4.8516 -6.0327
Hg 0.0375 4.3274 -3.3807
Hg 2.1220 -0.2801 -7.8253
Hg 0.9191 -0.3482 -3.2196
Hg 1.2404 4.3955 -7.9864
Pb 0.0000 0.0000 0.0000
Pb 1.0798 2.0237 -5.6030
CELL_PARAMETERS angstrom
-0.4795 7.6155 -3.8839
2.6390 -3.5682 -7.3221
-2.9590 -0.5848 -0.7815
! * N(E_F): 3.98 states/eV per cell

=====

Preferred: entry a; penalty for the next structure: 4.2 kJ/mol of atoms.

=====

Entry a
! Hg2PbAu2 | Alexandria | GGA-PBE | relaxed; values from VASP
&SYSTEM
  ibrav = 0, nat = 10, ntyp = 3
/
ATOMIC_SPECIES
Pb 207.20 Pb.upf
Hg 200.59 Hg.upf
Au 196.97 Au.upf
ATOMIC_POSITIONS angstrom
Pb 0.7377 -0.4114 5.9306
Pb 2.3960 5.3052 -1.5590
Hg 2.8697 2.2529 1.1803
Hg 0.2641 2.6409 3.1914
Hg -0.2518 2.9158 -0.7586
Hg 3.3856 1.9781 5.1303
Au 1.9420 0.2645 3.3347
Au 1.1917 4.6293 1.0369
Au -1.1705 4.9084 -2.9141
Au 4.3042 -0.0146 7.2857
CELL_PARAMETERS angstrom
6.2378 -0.0140 -0.0066
-3.1096 5.4555 -3.5299
0.0055 -0.5477 7.9081
! * N(E_F): 2.48 states/eV per cell

=====

Entry b
! Hg2PbAu2 | Alexandria | GGA-PBE | relaxed; values from VASP
&SYSTEM
  ibrav = 0, nat = 10, ntyp = 3
/
ATOMIC_SPECIES
Hg 200.59 Hg.upf
Au 196.97 Au.upf
Pb 207.20 Pb.upf
ATOMIC_POSITIONS angstrom
Hg -4.0824 6.2508 -1.1316
Hg -2.5176 2.4071 0.1174
Hg -7.0986 4.2486 -3.5143
Hg -5.5337 0.4049 -2.2652
Au -2.5454 0.4500 -2.0165
Au -1.5221 4.9010 -1.2180
Au -5.0101 6.1989 -3.9829
Au -6.0335 1.7479 -4.7814
Pb 0.0000 0.0000 0.0000
Pb -3.7778 3.3245 -2.9997
CELL_PARAMETERS angstrom
-1.1652 8.1483 -0.9439
-6.3904 -1.4994 -5.0555
-2.0605 0.0068 2.6026
! * N(E_F): 3.45 states/eV per cell

=====

Preferred: entry a; penalty for the next structure: 2.9 kJ/mol of atoms.

=====

Entry a
! Hg2Pb7Au2 | Alexandria | GGA-PBE | relaxed; values from VASP
&SYSTEM
  ibrav = 0, nat = 11, ntyp = 3
/
ATOMIC_SPECIES
Pb 207.20 Pb.upf
Au 196.97 Au.upf
Hg 200.59 Hg.upf
ATOMIC_POSITIONS angstrom
Pb 2.8504 4.5153 6.1881
Pb 1.6282 6.9774 13.7290
Pb 3.9296 4.0057 11.4168
Pb 3.2905 0.6346 3.4722
Pb 2.3816 6.3040 9.0805
Pb 2.1620 0.7609 10.4354
Pb 0.7965 1.6339 6.9728
Au 0.8752 6.8079 6.4875
Au 2.4091 3.2910 8.9109
Hg 1.3322 3.1470 3.6678
Hg 3.9000 7.6752 11.5989
CELL_PARAMETERS angstrom
3.7547 0.0000 0.6085
1.0572 8.6719 5.3643
0.2685 0.5956 10.2308
! * N(E_F): 4.65 states/eV per cell

=====

Entry b
! Hg2Pb7Au2 | Alexandria | GGA-PBE | relaxed; values from VASP
&SYSTEM
  ibrav = 0, nat = 11, ntyp = 3
/
ATOMIC_SPECIES
Pb 207.20 Pb.upf
Au 196.97 Au.upf
Hg 200.59 Hg.upf
ATOMIC_POSITIONS angstrom
Pb 6.5927 1.8276 3.1001
Pb -0.4067 5.1237 3.4837
Pb 2.6849 5.1209 6.7744
Pb 3.0937 5.1705 3.2927
Pb 0.0000 0.0000 0.0000
Pb 3.0923 1.7808 3.2911
Pb 3.5011 1.8304 -0.1906
Au 1.3596 6.9545 4.9234
Au 4.8264 -0.0032 1.6603
Hg 5.1651 3.4738 5.4973
Hg 1.0210 3.4775 1.0865
CELL_PARAMETERS angstrom
7.0012 -0.0039 -0.3829
0.0032 6.9570 0.0029
-0.8184 -0.0017 6.9638
! * N(E_F): 5.66 states/eV per cell

=====

Preferred: entry a; penalty for the next structure: 3.5 kJ/mol of atoms.